No. 1
## La12Nd7Y (PBE-GGA)

Data for an optimized crystal structure of La12Nd7Y.

a = 8.970 Å, b = 8.970 Å, c = 8.970 Å
α = 89.51°, β = 89.51°, γ = 89.51°
Fractional coordinates of all 20 atoms:
La: 0.854 0.255 0.720
La: 0.745 0.280 0.146
La: 0.604 0.144 0.485
La: 0.856 0.515 0.396
La: 0.280 0.146 0.745
La: 0.515 0.396 0.856
La: 0.485 0.604 0.144
La: 0.720 0.854 0.255
La: 0.144 0.485 0.604
La: 0.396 0.856 0.515
La: 0.255 0.720 0.854
La: 0.146 0.745 0.280
Nd: 0.861 0.617 0.928
Nd: 0.383 0.072 0.139
Nd: 0.072 0.139 0.383
Nd: 0.500 0.500 0.500
Nd: 0.928 0.861 0.617
Nd: 0.617 0.928 0.861
Nd: 0.139 0.383 0.072
Y: 0.000 0.000 0.000

Output
**Offset from the most stable computed form**: 0.05 kcal/mol of atoms
**Crystal system**: trigonal
**Symmetry**: R-3
**Formation energy**: 177 meV per atom

***

No. 2
## Rb2TlPb2Cl7 (PBE-GGA)

Data for an optimized crystal structure of Rb2TlPb2Cl7.

a = 5.702 Å, b = 5.702 Å, c = 14.304 Å
α = 80.08°, β = 80.08°, γ = 91.79°
Fractional coordinates of all 12 atoms:
Rb: 0.763 0.763 0.361
Rb: 0.237 0.237 0.639
Tl: 0.000 0.000 0.000
Pb: 0.641 0.641 0.794
Pb: 0.359 0.359 0.206
Cl: 0.500 0.500 0.000
Cl: 0.315 0.315 0.408
Cl: 0.685 0.685 0.592
Cl: 0.860 0.307 0.198
Cl: 0.307 0.860 0.198
Cl: 0.693 0.140 0.802
Cl: 0.140 0.693 0.802

Output
**Crystal system**: monoclinic
**Symmetry**: C2/m
**Uncorrected energy**: -41.1 eV per formula unit

***

No. 3
## KZrAu (PBE-GGA)

Data for an optimized crystal structure of KZrAu.

a = 7.628 Å, b = 7.628 Å, c = 3.579 Å
α = 76.43°, β = 76.43°, γ = 27.14°
Fractional coordinates of all 3 atoms:
Au: 0.036 0.036 0.964
K: 0.350 0.350 0.650
Zr: 0.615 0.615 0.385

Output
**Offset from the most stable computed form**: 0.00 kcal/mol of atoms
**Crystal system**: tetragonal
**Symmetry**: I4mm
**Formation energy**: 78 meV per atom

***

No. 4
## TbPmSiGe (PBE-GGA)

Data for an optimized crystal structure of TbPmSiGe.

a = 5.109 Å, b = 5.109 Å, c = 5.109 Å
α = 60.00°, β = 60.00°, γ = 60.00°
Fractional coordinates of all 4 atoms:
Ge: 0.250 0.250 0.250
Tb: 0.500 0.500 0.500
Si: 0.750 0.750 0.750
Pm: 0.000 0.000 0.000

Output
**Offset from the most stable computed form**: 7.86 kcal/mol of atoms
**Crystal system**: cubic
**Symmetry**: F-43m

***

No. 5
## YPd4Rh (PBE-GGA)

Data for an optimized crystal structure of YPd4Rh.

a = 5.283 Å, b = 5.283 Å, c = 5.283 Å
α = 60.00°, β = 60.00°, γ = 60.00°
Fractional coordinates of all 6 atoms:
Y: 0.000 0.000 0.000
Rh: 0.250 0.250 0.250
Pd: 0.624 0.624 0.127
Pd: 0.624 0.127 0.624
Pd: 0.624 0.624 0.624
Pd: 0.127 0.624 0.624

Output
**Crystal system**: cubic
**Symmetry**: F-43m
**Formation energy**: -340 meV per atom

***

No. 6
## Cs4Sn3Cl10 (PBE-GGA)

Data for an optimized crystal structure of Cs4Sn3Cl10.

a = 5.637 Å, b = 5.637 Å, c = 20.342 Å
α = 97.96°, β = 97.96°, γ = 90.00°
Fractional coordinates of all 17 atoms:
Cs: 0.568 0.568 0.136
Cs: 0.432 0.432 0.864
Cs: 0.299 0.299 0.598
Cs: 0.701 0.701 0.402
Sn: 0.143 0.143 0.286
Sn: 0.857 0.857 0.714
Sn: 0.000 0.000 0.000
Cl: 0.142 0.642 0.283
Cl: 0.070 0.070 0.141
Cl: 0.642 0.142 0.283
Cl: 0.858 0.358 0.717
Cl: 0.358 0.858 0.717
Cl: 0.930 0.930 0.859
Cl: 0.212 0.212 0.424
Cl: 0.788 0.788 0.576
Cl: 0.000 0.500 0.000
Cl: 0.500 0.000 0.000

Output
**Crystal system**: tetragonal
**Symmetry**: I4/mmm
**Uncorrected energy**: -59.6 eV per formula unit